Entry 1:
The following is a PBE calculation of an optimized crystal structure of Sn5Hg3Au12, from Alexandria.

**ΔH_f (0 K)**: 0.08 eV per atom
**ρ**: 11.335 g/cm³

a b c (Å): 16.097 16.097 16.097
angles (deg): 90.00 90.00 90.00
Space group Ia-3d (No. 230)
Unique sites:
Sn (0.000, 0.000, 0.000) [16 per cell]
Sn (0.000, 0.250, 0.375) [24 per cell]
Hg (0.000, 0.250, 0.125) [24 per cell]
Au (0.010, 0.075, 0.653) [96 per cell]

Entry 2:
The following is a PBE calculation of an optimized crystal structure of Ta5NbOs6, from Alexandria.

**ΔH_f (0 K)**: -0.29 eV per atom
**ρ**: 18.205 g/cm³

a b c (Å): 4.349 6.983 12.849
angles (deg): 90.00 90.00 90.00
Space group Immm (No. 71)
Unique sites:
Ta (0.000, 0.000, 0.000) [2 per cell]
Ta (0.000, 0.000, 0.353) [4 per cell]
Ta (0.000, 0.500, 0.319) [4 per cell]
Nb (0.000, 0.500, 0.000) [2 per cell]
Os (0.000, 0.231, 0.168) [8 per cell]
Os (0.000, 0.281, 0.500) [4 per cell]

Entry 3:
The following is a PBE calculation of an optimized crystal structure of Y4TeAs3, from Alexandria.

**Uncorrected energy**: -6.893 eV/atom
**ρ**: 5.663 g/cm³

a b c (Å): 4.167 5.932 8.399
angles (deg): 90.00 90.00 90.00
Space group Pmmm (No. 47)
Unique sites:
Y (0.000, 0.000, 0.000) [1 per cell]
Y (0.000, 0.000, 0.500) [1 per cell]
Y (0.500, 0.500, 0.229) [2 per cell]
Te (0.000, 0.500, 0.500) [1 per cell]
As (0.000, 0.500, 0.000) [1 per cell]
As (0.500, 0.000, 0.251) [2 per cell]

Entry 4:
The following is a PBE calculation of an optimized crystal structure of Si3AuN, from Alexandria.

**ρ**: 4.483 g/cm³
**Energy above the lowest structure with this stoichiometry**: 1377 meV/atom

a b c (Å): 4.782 4.782 4.782
angles (deg): 90.00 90.00 90.00
Space group Pm-3m (No. 221)
Unique sites:
Si (0.000, 0.000, 0.500) [3 per cell]
Au (0.000, 0.000, 0.000) [1 per cell]
N (0.500, 0.500, 0.500) [1 per cell]

Entry 5:
The following is a PBE calculation of an optimized crystal structure of ScB3As, from Alexandria.

**ΔH_f (0 K)**: 1.30 eV per atom
**ρ**: 3.680 g/cm³
**Energy above the lowest structure with this stoichiometry**: 0 meV/atom

a b c (Å): 4.096 4.096 4.096
angles (deg): 90.00 90.00 90.00
Space group Pm-3m (No. 221)
Unique sites:
Sc (0.000, 0.000, 0.000) [1 per cell]
B (0.000, 0.500, 0.500) [3 per cell]
As (0.500, 0.500, 0.500) [1 per cell]

Entry 6:
The following is a PBE calculation of an optimized crystal structure of Cr2CdPt, from Alexandria.

**ΔH_f (0 K)**: 0.14 eV per atom
**ρ**: 11.254 g/cm³

a b c (Å): 2.8624 2.8624 25.6702
angles (deg): 90.00 90.00 120.00
Space group R3m (No. 160, hexagonal axes)
Unique sites:
Cr (0.0000, 0.0000, 0.0000) [3 per cell]
Cr (0.0000, 0.0000, 0.2742) [3 per cell]
Cd (0.0000, 0.0000, 0.7626) [3 per cell]
Pt (0.0000, 0.0000, 0.5246) [3 per cell]

Entry 7:
The following is a PBE calculation of an optimized crystal structure of CsBa3Pt, from Alexandria.

**ΔH_f (0 K)**: 1.04 eV per atom
**ρ**: 5.008 g/cm³
**Energy above the lowest structure with this stoichiometry**: 1402 meV/atom

a b c (Å): 6.261 6.261 6.261
angles (deg): 90.00 90.00 90.00
Space group Pm-3m (No. 221)
Unique sites:
Cs (0.000, 0.000, 0.000) [1 per cell]
Ba (0.000, 0.000, 0.500) [3 per cell]
Pt (0.500, 0.500, 0.500) [1 per cell]

Entry 8:
The following is a PBE calculation of an optimized crystal structure of LaTb2Pm4Sm2, from Alexandria.

**ΔH_f (0 K)**: 0.02 eV per atom
**ρ**: 7.250 g/cm³

a b c (Å): 15.439 5.148 8.128
angles (deg): 90.00 108.49 90.00
Space group C2/m (No. 12)
Unique sites:
La (0.000, 0.000, 0.000) [2 per cell]
Tb (0.168, 0.500, 0.999) [4 per cell]
Pm (0.056, 0.500, 0.334) [4 per cell]
Pm (0.222, 0.000, 0.332) [4 per cell]
Sm (0.111, 0.000, 0.666) [4 per cell]